Below is crystalline EuMnPt4 at its relaxed geometry, with properties calculated at the PBE level.

## Properties
DOS at the Fermi energy (states/eV/cell): 58.85
Formation energy (eV/atom): -0.535

Lattice parameters (Å, degrees): 7.6182 7.6182 7.6182 90.00 90.00 90.00
Space group F-43m (No. 216)
Unique sites:
Eu 0.0000 0.0000 0.0000 x4
Mn 0.2500 0.2500 0.7500 x4
Pt 0.1246 0.1246 0.3754 x16